[1]
A relaxed Ca2CoSi2 crystal, computed with PBE.

Output
E_form (uncorrected) = -30.0 kJ/mol of atoms
space-group type = P4/mbm (127)
VASP energy = -0.346 Ry per atom
total magnetization = 0.003 μB per cell

Cell lengths 6.430, 6.430, 4.648 Å; angles 90.00, 90.00, 90.00 degrees
Positions (direct):
Ca 0.175 0.675 0.500
Ca 0.675 0.825 0.500
Ca 0.825 0.325 0.500
Ca 0.325 0.175 0.500
Co 0.000 0.000 0.000
Co 0.500 0.500 0.000
Si 0.362 0.862 0.000
Si 0.862 0.638 0.000
Si 0.638 0.138 0.000
Si 0.138 0.362 0.000

[2]
A relaxed CaCoSi2 crystal, computed with PBE.

Output
E_form (uncorrected) = 11.3 kJ/mol of atoms
space-group type = P4/mmm (123)
VASP energy = -0.358 Ry per atom
total magnetization = 1.111 μB per cell

Cell lengths 3.931, 3.932, 4.118 Å; angles 90.00, 90.00, 90.00 degrees
Positions (direct):
Ca 0.500 0.000 0.500
Co 0.000 0.500 0.500
Si 0.000 0.000 0.000
Si 0.500 0.500 0.000

[3]
A relaxed CaCoSi2 crystal, computed with PBE.

Output
E_form (uncorrected) = -20.3 kJ/mol of atoms
space-group type = Pm (6)
VASP energy = -0.382 Ry per atom
total magnetization = 0.000 μB per cell

Cell lengths 3.683, 3.026, 6.166 Å; angles 89.93, 90.00, 90.00 degrees
Positions (direct):
Ca 0.000 0.624 0.482
Co 0.500 0.626 0.899
Si 0.000 0.125 0.929
Si 0.500 0.125 0.190

[4]
A relaxed CaCo2Si crystal, computed with PBE.

Output
E_form (uncorrected) = 0.4 kJ/mol of atoms
space-group type = P4mm (99)
VASP energy = -0.397 Ry per atom
total magnetization = 2.333 μB per cell

Cell lengths 3.020, 3.020, 6.755 Å; angles 90.00, 90.00, 90.00 degrees
Positions (direct):
Ca 0.500 0.500 0.753
Co 0.000 0.000 0.071
Co 0.500 0.500 0.250
Si 0.000 0.000 0.426

[5]
A relaxed CaCo2Si crystal, computed with PBE.

Output
E_form (uncorrected) = 30.4 kJ/mol of atoms
space-group type = P2/m (10)
VASP energy = -0.374 Ry per atom
total magnetization = 1.345 μB per cell

Cell lengths 2.846, 5.055, 5.150 Å; angles 50.96, 90.00, 90.00 degrees
Positions (direct):
Ca 0.000 0.000 0.500
Co 0.000 0.000 0.000
Co 0.500 0.500 0.000
Si 0.500 0.500 0.500

[6]
A relaxed CaCo3Si3 crystal, computed with PBE.

Output
E_form (uncorrected) = -13.6 kJ/mol of atoms
space-group type = Pm-3n (223)
VASP energy = -0.426 Ry per atom
total magnetization = 0.000 μB per cell

Cell lengths 6.225, 6.225, 6.225 Å; angles 90.00, 90.00, 90.00 degrees
Positions (direct):
Ca 0.500 0.500 0.500
Ca 0.000 0.000 0.000
Co 0.000 0.250 0.500
Co 0.000 0.750 0.500
Co 0.500 0.000 0.750
Co 0.750 0.500 0.000
Co 0.500 0.000 0.250
Co 0.250 0.500 0.000
Si 0.250 0.000 0.500
Si 0.000 0.500 0.250
Si 0.500 0.750 0.000
Si 0.750 0.000 0.500
Si 0.000 0.500 0.750
Si 0.500 0.250 0.000

[7]
A relaxed CaCoSi2 crystal, computed with PBE.

Output
E_form (uncorrected) = 21.6 kJ/mol of atoms
space-group type = Cmmm (65)
VASP energy = -0.350 Ry per atom
total magnetization = 0.821 μB per cell

Cell lengths 4.944, 4.944, 2.864 Å; angles 90.00, 90.00, 114.01 degrees
Positions (direct):
Ca 0.500 0.000 0.500
Co 0.000 0.500 0.500
Si 0.000 0.000 0.000
Si 0.500 0.500 0.000

[8]
A relaxed CaCoSi2 crystal, computed with PBE.

Output
E_form (uncorrected) = -14.3 kJ/mol of atoms
space-group type = P2/m (10)
VASP energy = -0.378 Ry per atom
total magnetization = 0.000 μB per cell

Cell lengths 3.983, 2.971, 5.771 Å; angles 89.38, 90.00, 90.00 degrees
Positions (direct):
Ca 0.500 0.250 0.250
Co 0.500 0.750 0.750
Si 0.000 0.760 0.955
Si 0.000 0.740 0.545

[9]
A relaxed CaCoSi2 crystal, computed with PBE.

Output
E_form (uncorrected) = -5.3 kJ/mol of atoms
space-group type = Immm (71)
VASP energy = -0.371 Ry per atom
total magnetization = 0.340 μB per cell

Cell lengths 5.439, 5.439, 5.439 Å; angles 150.31, 121.71, 66.78 degrees
Positions (direct):
Ca 0.750 0.250 0.500
Co 0.250 0.750 0.500
Si 0.048 0.048 0.000
Si 0.452 0.452 0.000

[10]
A relaxed CaCo2Si crystal, computed with PBE.

Output
E_form (uncorrected) = 28.2 kJ/mol of atoms
space-group type = F-43m (216)
VASP energy = -0.376 Ry per atom
total magnetization = 3.390 μB per cell

Cell lengths 4.415, 4.415, 4.415 Å; angles 60.00, 60.00, 60.00 degrees
Positions (direct):
Ca 0.500 0.500 0.500
Co 0.000 0.000 0.000
Co 0.250 0.250 0.250
Si 0.750 0.750 0.750

[11]
A relaxed CaCoSi2 crystal, computed with PBE.

Output
E_form (uncorrected) = 20.8 kJ/mol of atoms
space-group type = I-4m2 (119)
VASP energy = -0.351 Ry per atom
total magnetization = 0.868 μB per cell

Cell lengths 4.944, 4.944, 4.944 Å; angles 132.40, 132.40, 69.59 degrees
Positions (direct):
Ca 0.500 0.500 0.000
Co 0.750 0.250 0.500
Si 0.000 0.000 0.000
Si 0.250 0.750 0.500

[12]
A relaxed Ca2Co2Si crystal, computed with PBE.

Output
E_form (uncorrected) = 20.2 kJ/mol of atoms
space-group type = I4/mmm (139)
VASP energy = -0.332 Ry per atom
total magnetization = 0.618 μB per cell

Cell lengths 5.152, 5.152, 5.152 Å; angles 115.45, 115.45, 98.09 degrees
Positions (direct):
Ca 0.750 0.250 0.500
Ca 0.250 0.750 0.500
Co 0.325 0.325 0.000
Co 0.675 0.675 0.000
Si 0.000 0.000 0.000